Below is a relaxed P2Pd8Pb crystal, with properties calculated at the PBE level.

Computed properties:
Electronic total energy in eV for the cell shown: -60.56

abc: 4.474 6.602 6.602
angles: 111.36 97.75 97.75
Element x y z (fractional)
Pd 0.093 0.063 0.330
Pd 0.500 0.254 0.746
Pd 0.302 0.612 0.612
Pd 0.698 0.388 0.388
Pd 0.093 0.330 0.063
Pb 0.500 0.000 0.000
Pd 0.500 0.746 0.254
Pd 0.907 0.937 0.670
P 0.000 0.678 0.322
P 0.000 0.322 0.678
Pd 0.907 0.670 0.937

***

Below is a relaxed P2Pd4Pb crystal, with properties calculated at the PBE level.

Computed properties:
Electronic total energy in eV for the cell shown: -37.97

abc: 4.529 4.490 6.237
angles: 111.09 90.00 90.00
Element x y z (fractional)
Pd 0.000 0.332 0.664
Pb 0.000 0.000 0.000
P 0.500 0.402 0.803
Pd 0.000 0.668 0.336
Pd 0.500 0.828 0.656
Pd 0.500 0.172 0.344
P 0.500 0.598 0.197

***

Below is a relaxed PPdPb crystal, with properties calculated at the PBE level.

Computed properties:
Offset from the most stable computed form in meV per atom: 0.0

abc: 4.436 4.107 4.107
angles: 120.00 90.00 90.00
Element x y z (fractional)
P 0.167 0.000 0.000
Pb 0.667 0.667 0.333
Pd 0.167 0.333 0.667

***

Below is a relaxed PPd2Pb crystal, with properties calculated at the PBE level.

Computed properties:
Electronic total energy in eV for the cell shown: -167.10

abc: 5.792 6.491 15.985
angles: 90.00 90.00 90.00
Element x y z (fractional)
Pd 0.509 0.299 0.541
Pb 0.804 0.395 0.692
Pb 0.196 0.605 0.308
Pd 0.991 0.299 0.041
Pd 0.491 0.701 0.459
Pb 0.304 0.605 0.808
P 0.193 0.055 0.943
P 0.193 0.555 0.557
Pd 0.015 0.201 0.357
Pb 0.804 0.895 0.808
Pd 0.009 0.201 0.541
Pd 0.991 0.799 0.459
P 0.807 0.945 0.057
Pb 0.696 0.895 0.308
Pd 0.509 0.799 0.959
P 0.693 0.945 0.557
P 0.307 0.555 0.057
Pb 0.696 0.395 0.192
Pb 0.196 0.105 0.192
Pd 0.515 0.299 0.357
Pd 0.515 0.799 0.143
Pd 0.485 0.201 0.857
Pd 0.009 0.701 0.959
Pd 0.485 0.701 0.643
P 0.693 0.445 0.943
Pb 0.304 0.105 0.692
Pd 0.015 0.701 0.143
Pd 0.985 0.799 0.643
P 0.807 0.445 0.443
Pd 0.491 0.201 0.041
Pd 0.985 0.299 0.857
P 0.307 0.055 0.443

***

Below is a relaxed PPd6Pb2 crystal, with properties calculated at the PBE level.

Computed properties:
Offset from the most stable computed form in meV per atom: 18.2

abc: 3.835 7.257 7.380
angles: 119.45 105.08 90.00
Element x y z (fractional)
P 0.000 0.000 0.000
Pd 0.163 0.370 0.326
Pb 0.355 0.355 0.709
Pd 0.500 0.193 0.000
Pd 0.837 0.044 0.674
Pd 0.837 0.630 0.674
Pd 0.500 0.807 0.000
Pb 0.645 0.645 0.291
Pd 0.163 0.956 0.326

***

Below is a relaxed PPdPb3 crystal, with properties calculated at the PBE level.

Computed properties:
Offset from the most stable computed form in meV per atom: 249.1

abc: 5.381 5.381 5.381
angles: 90.00 90.00 90.00
Element x y z (fractional)
Pd 0.500 0.500 0.500
Pb 0.000 0.000 0.500
Pb 0.500 0.000 0.000
P 0.000 0.000 0.000
Pb 0.000 0.500 0.000